# 1
InSi2W (PBE, relaxed); formation energy from raw total energies = 0.50 eV/atom; E_tot = -6.133 eV per atom; symmetry = Cmm2, No. 35
1.0
1.7446 -2.3630 0.0000
1.7446 2.3630 0.0000
0.0000 0.0000 8.2967
In Si W
1 2 1
direct
0.0000 0.0000 0.0000
0.0000 0.0000 0.4966
0.5000 0.5000 0.7110
0.5000 0.5000 0.2808

# 2
InSi3W (PBE, relaxed); formation energy from raw total energies = 0.49 eV/atom; E_tot = -5.898 eV per atom; symmetry = Pm-3m, No. 221; polymorph energy (0 for the lowest one) = 0.000 eV per atom
1.0
4.8210 0.0000 0.0000
0.0000 4.8210 0.0000
0.0000 0.0000 4.8210
In Si W
1 3 1
direct
0.0000 0.0000 0.0000
0.0000 0.5000 0.5000
0.5000 0.0000 0.5000
0.5000 0.5000 0.0000
0.5000 0.5000 0.5000

# 3
In2SiW (PBE, relaxed); formation energy from raw total energies = 0.29 eV/atom; E_tot = -5.676 eV per atom; symmetry = Immm, No. 71
1.0
-1.4198 2.1273 7.1322
1.4198 -2.1273 7.1322
1.4198 2.1273 -7.1322
In Si W
2 1 1
direct
0.1821 0.1821 0.0000
0.8179 0.8179 0.0000
0.5000 0.0000 0.5000
0.0000 0.5000 0.5000

# 4
InSiW2 (PBE, relaxed); formation energy from raw total energies = 0.45 eV/atom; E_tot = -8.062 eV per atom; symmetry = P2/m, No. 10; polymorph energy (0 for the lowest one) = 0.242 eV per atom
1.0
2.8612 0.0000 0.0000
0.0000 3.8918 0.0000
-0.8122 0.0000 6.0960
In Si W
1 1 2
direct
0.0000 0.0000 0.0000
0.0000 0.0000 0.5000
0.4054 0.5000 0.7030
0.5946 0.5000 0.2970

# 5
InSi2W (PBE, relaxed); formation energy from raw total energies = 0.37 eV/atom; E_tot = -6.267 eV per atom; symmetry = Cmmm, No. 65
1.0
1.8142 -2.3236 0.0000
1.8142 2.3236 0.0000
0.0000 0.0000 8.4918
In Si W
1 2 1
direct
0.0000 0.0000 0.0000
0.5000 0.5000 0.2908
0.5000 0.5000 0.7092
0.0000 0.0000 0.5000

# 6
In2SiW (PBE, relaxed); formation energy from raw total energies = 0.74 eV/atom; E_tot = -5.228 eV per atom; symmetry = P4/mmm, No. 123
1.0
5.0888 0.0000 0.0000
0.0000 5.0888 0.0000
0.0000 0.0000 2.9852
In Si W
2 1 1
direct
0.0000 0.5000 0.0000
0.5000 0.0000 0.0000
0.0000 0.0000 0.5000
0.5000 0.5000 0.5000

# 7
InSi2W (PBE, relaxed); formation energy from raw total energies = 0.66 eV/atom; E_tot = -5.971 eV per atom; symmetry = C2/m, No. 12
1.0
2.8824 -4.4439 0.0000
2.8824 4.4439 0.0000
-1.6052 0.0000 2.6651
In Si W
1 2 1
direct
0.0000 0.0000 0.0000
0.0000 0.5000 0.0000
0.5000 0.0000 0.0000
0.5000 0.5000 0.0000

# 8
InSi2W (PBE, relaxed); formation energy from raw total energies = 0.50 eV/atom; E_tot = -6.135 eV per atom; symmetry = Imm2, No. 44
1.0
-1.6787 2.2899 4.2370
1.6787 -2.2899 4.2370
1.6787 2.2899 -4.2370
In Si W
1 2 1
direct
0.0000 0.0000 0.0000
0.2605 0.7605 0.5000
0.4811 0.4811 0.0000
0.7213 0.2213 0.5000